Entry 1:
VASP calculation (GGA-PBE) on a geometry-optimized Cd3TcAs structure.

Output
* offset from the most stable computed form: 0 kJ/mol of formula units
* formation energy from the elements: 1.08 eV/atom

Geometry as extended XYZ:
```
5
Lattice="-3.214 1.202 -3.945 -3.254 -3.811 1.490 -2.533 3.371 3.091" Properties=species:S:1:pos:R:3 pbc="T T T"
Tc 0.000 0.000 0.000
Cd -1.266 1.686 1.545
Cd -1.607 0.601 -1.972
Cd -1.627 -1.905 0.745
As -4.500 0.381 0.318
```

Entry 2:
VASP calculation (GGA-PBE) on a geometry-optimized CdTc2As structure.

Output
* offset from the most stable computed form: 89 kJ/mol of formula units
* formation energy from the elements: 0.29 eV/atom

Geometry as extended XYZ:
```
4
Lattice="3.853 0.000 0.000 0.000 2.999 0.006 0.000 1.775 5.723" Properties=species:S:1:pos:R:3 pbc="T T T"
Tc 0.000 2.008 2.659
Tc 0.000 0.379 0.205
As 1.927 1.194 1.432
Cd 1.927 3.581 4.296
```

Entry 3:
VASP calculation (GGA-PBE) on a geometry-optimized Cd2TcAs structure.

Output
* formation energy from the elements: 0.21 eV/atom

Geometry as extended XYZ:
```
4
Lattice="4.050 0.000 0.000 0.000 3.658 0.000 0.000 1.814 5.335" Properties=species:S:1:pos:R:3 pbc="T T T"
Cd 2.025 1.593 1.557
Cd 0.000 5.246 5.157
Tc 0.000 3.421 2.683
As 2.025 3.420 3.939
```

Entry 4:
VASP calculation (GGA-PBE) on a geometry-optimized Cd2TcAs structure.

Output
* formation energy from the elements: 0.20 eV/atom

Geometry as extended XYZ:
```
4
Lattice="4.887 -0.012 0.094 3.704 3.188 0.094 1.650 0.610 4.848" Properties=species:S:1:pos:R:3 pbc="T T T"
Tc 5.129 1.896 2.063
As 2.523 0.933 1.758
Cd 7.803 2.884 3.861
Cd 10.150 3.752 4.910
```

Entry 5:
VASP calculation (GGA-PBE) on a geometry-optimized Cd4TcAs structure.

Output
* formation energy from the elements: 0.60 eV/atom

Geometry as extended XYZ:
```
6
Lattice="-0.570 -4.472 3.266 -5.076 -1.964 1.169 -1.681 -4.840 -2.177" Properties=species:S:1:pos:R:3 pbc="T T T"
Cd -5.277 -5.213 1.430
Cd -3.036 -6.461 2.473
Cd -3.588 -6.644 -0.234
Cd -2.752 -4.236 0.848
As 0.000 0.000 0.000
Tc -5.495 -8.458 1.694
```

Entry 6:
VASP calculation (GGA-PBE) on a geometry-optimized Cd2TcAs structure.

Output
* formation energy from the elements: 0.20 eV/atom

Geometry as extended XYZ:
```
4
Lattice="-2.006 -1.892 -0.990 1.095 -0.629 2.644 -7.841 5.885 4.647" Properties=species:S:1:pos:R:3 pbc="T T T"
Tc -4.012 3.011 2.378
As -5.790 2.743 3.988
Cd -0.158 0.119 0.094
Cd -2.713 0.434 2.165
```

Entry 7:
VASP calculation (GGA-PBE) on a geometry-optimized CdTc2As structure.

Output
* offset from the most stable computed form: 206 kJ/mol of formula units
* formation energy from the elements: 0.59 eV/atom

Geometry as extended XYZ:
```
4
Lattice="3.078 0.000 0.000 0.000 4.772 0.000 0.000 0.000 4.507" Properties=species:S:1:pos:R:3 pbc="T T T"
Tc 0.000 0.000 0.000
Tc 1.539 2.386 0.000
As 1.539 0.000 2.254
Cd 0.000 2.386 2.254
```

Entry 8:
VASP calculation (GGA-PBE) on a geometry-optimized Cd2TcAs structure.

Output
* formation energy from the elements: 0.37 eV/atom

Geometry as extended XYZ:
```
4
Lattice="5.545 -0.001 -0.012 2.819 4.775 0.012 -3.994 -2.715 2.723" Properties=species:S:1:pos:R:3 pbc="T T T"
As 1.503 2.223 1.368
Cd 0.026 0.015 0.000
Cd 4.156 2.372 0.000
Tc 2.866 -0.165 1.356
```

Entry 9:
VASP calculation (GGA-PBE) on a geometry-optimized CdTc2As structure.

Output
* offset from the most stable computed form: 101 kJ/mol of formula units
* formation energy from the elements: 0.32 eV/atom

Geometry as extended XYZ:
```
4
Lattice="4.442 0.013 0.008 3.389 2.871 0.008 1.217 0.448 5.287" Properties=species:S:1:pos:R:3 pbc="T T T"
As 6.786 2.499 3.976
Tc 4.435 1.633 2.913
Tc 1.307 0.481 5.024
Cd 2.262 0.833 1.325
```

Entry 10:
VASP calculation (GGA-PBE) on a geometry-optimized Cd2TcAs structure.

Output
* formation energy from the elements: 0.59 eV/atom

Geometry as extended XYZ:
```
4
Lattice="4.963 0.000 0.000 0.000 4.963 0.000 0.000 0.000 3.134" Properties=species:S:1:pos:R:3 pbc="T T T"
Cd 0.000 0.000 0.000
Cd 2.481 2.481 0.000
Tc 2.481 0.000 1.567
As 0.000 2.481 1.567
```

Entry 11:
VASP calculation (GGA-PBE) on a geometry-optimized Cd2TcAs structure.

Output
* formation energy from the elements: 0.41 eV/atom

Geometry as extended XYZ:
```
4
Lattice="5.132 0.010 0.000 -2.408 4.533 0.000 0.000 0.000 3.224" Properties=species:S:1:pos:R:3 pbc="T T T"
As -1.204 2.266 1.612
Cd 1.362 2.271 0.000
Cd 0.000 0.000 0.000
Tc 2.566 0.005 1.612
```

Entry 12:
VASP calculation (GGA-PBE) on a geometry-optimized CdTc2As structure.

Output
* offset from the most stable computed form: 122 kJ/mol of formula units
* formation energy from the elements: 0.38 eV/atom

Geometry as extended XYZ:
```
4
Lattice="2.921 0.001 0.000 -1.287 2.621 0.000 0.000 0.000 8.655" Properties=species:S:1:pos:R:3 pbc="T T T"
Cd 0.817 1.311 6.491
Tc 0.000 0.000 4.062
Tc 0.000 0.000 0.265
As 0.817 1.311 2.164
```

Q: formation energy from the elements of number 12 (CdTc2As)?
A: 0.38 eV/atom

What did the eighth record say?
VASP calculation (GGA-PBE) on a geometry-optimized Cd2TcAs structure.

Output
* formation energy from the elements: 0.37 eV/atom

Geometry as extended XYZ:
```
4
Lattice="5.545 -0.001 -0.012 2.819 4.775 0.012 -3.994 -2.715 2.723" Properties=species:S:1:pos:R:3 pbc="T T T"
As 1.503 2.223 1.368
Cd 0.026 0.015 0.000
Cd 4.156 2.372 0.000
Tc 2.866 -0.165 1.356
```